Record 1
Here is an optimized crystal structure of NiTeP2O from Alexandria. Energies are from GGA-PBEsol.

Cell and atoms, written as CIF:
```
data_NiTeP2O
_chemical_formula_sum 'Ni1 Te1 P2 O1'
_symmetry_space_group_name_H-M 'P 1'
_symmetry_Int_Tables_number 1
_symmetry_space_group_name_Hall 'P 1'
_cell_length_a 3.540
_cell_length_b 4.614
_cell_length_c 4.614
_cell_angle_alpha 90.00
_cell_angle_beta 90.00
_cell_angle_gamma 90.00
loop_
_atom_site_label
_atom_site_fract_x
_atom_site_fract_y
_atom_site_fract_z
Ni1 0.000 0.000 0.000
Te1 0.500 0.500 0.500
O1 0.500 0.000 0.000
P1 0.000 0.000 0.500
P2 0.000 0.500 0.000
```

Calculated values
magnetization: 0.095 μB/atom
ρ: 5.8 g/cm3
Fermi-level density of states: 4.435 states/eV/cell
ΔE_f (raw): 0.522 eV per formula unit

---

Record 2
Here is an optimized crystal structure of NiTeP2O9 from Alexandria. Energies are from GGA-PBEsol.

Cell and atoms, written as CIF:
```
data_NiTeP2O9
_chemical_formula_sum 'Ni4 Te4 P8 O36'
_symmetry_space_group_name_H-M 'P 1'
_symmetry_Int_Tables_number 1
_symmetry_space_group_name_Hall 'P 1'
_cell_length_a 6.331
_cell_length_b 7.816
_cell_length_c 13.789
_cell_angle_alpha 90.00
_cell_angle_beta 90.00
_cell_angle_gamma 90.00
loop_
_atom_site_label
_atom_site_fract_x
_atom_site_fract_y
_atom_site_fract_z
Ni1 0.000 0.000 0.000
Ni2 0.000 0.500 0.500
Ni3 0.500 0.500 0.500
Ni4 0.500 0.000 0.000
Te1 0.250 0.338 0.879
Te2 0.750 0.662 0.121
Te3 0.750 0.838 0.621
Te4 0.250 0.162 0.379
P1 0.750 0.341 0.946
P2 0.250 0.659 0.054
P3 0.250 0.841 0.554
P4 0.750 0.159 0.446
P5 0.250 0.426 0.691
P6 0.750 0.574 0.309
P7 0.750 0.926 0.809
P8 0.250 0.074 0.191
O1 0.546 0.546 0.363
O2 0.046 0.454 0.637
O3 0.454 0.046 0.137
O4 0.954 0.954 0.863
O5 0.454 0.454 0.637
O6 0.954 0.546 0.363
O7 0.546 0.954 0.863
O8 0.046 0.046 0.137
O9 0.750 0.324 0.503
O10 0.250 0.676 0.497
O11 0.250 0.824 0.997
O12 0.750 0.176 0.003
O13 0.250 0.151 0.965
O14 0.750 0.849 0.035
O15 0.750 0.651 0.535
O16 0.250 0.349 0.465
O17 0.250 0.242 0.747
O18 0.750 0.758 0.253
O19 0.750 0.742 0.753
O20 0.250 0.258 0.247
O21 0.939 0.146 0.374
O22 0.439 0.854 0.626
O23 0.061 0.646 0.126
O24 0.561 0.354 0.874
O25 0.061 0.854 0.626
O26 0.561 0.146 0.374
O27 0.939 0.354 0.874
O28 0.439 0.646 0.126
O29 0.250 0.964 0.292
O30 0.750 0.036 0.708
O31 0.750 0.464 0.208
O32 0.250 0.536 0.792
O33 0.250 0.004 0.492
O34 0.750 0.996 0.508
O35 0.750 0.504 0.008
O36 0.250 0.496 0.992
```

Calculated values
magnetization: 0.144 μB/atom
ρ: 3.8 g/cm3
Fermi-level density of states: 7.904 states/eV/cell
ΔE_f (raw): -19.209 eV per formula unit

---

Record 3
Here is an optimized crystal structure of TiNi3P4O16 from Alexandria. Energies are from GGA-PBEsol.

Cell and atoms, written as CIF:
```
data_TiNi3P4O16
_chemical_formula_sum 'Ti1 Ni3 P4 O16'
_symmetry_space_group_name_H-M 'P 1'
_symmetry_Int_Tables_number 1
_symmetry_space_group_name_Hall 'P 1'
_cell_length_a 4.684
_cell_length_b 5.636
_cell_length_c 9.646
_cell_angle_alpha 90.00
_cell_angle_beta 90.28
_cell_angle_gamma 90.00
loop_
_atom_site_label
_atom_site_fract_x
_atom_site_fract_y
_atom_site_fract_z
Ti1 0.045 0.500 0.729
Ni1 0.949 0.000 0.270
Ni2 0.552 0.000 0.775
Ni3 0.444 0.500 0.229
P1 0.899 0.500 0.400
P2 0.616 0.500 0.916
P3 0.397 0.000 0.094
P4 0.089 0.000 0.588
O1 0.842 0.500 0.558
O2 0.740 0.287 0.330
O3 0.740 0.713 0.330
O4 0.769 0.000 0.608
O5 0.722 0.000 0.110
O6 0.769 0.291 0.837
O7 0.769 0.709 0.837
O8 0.676 0.500 0.070
O9 0.328 0.000 0.939
O10 0.239 0.788 0.169
O11 0.239 0.212 0.169
O12 0.298 0.500 0.882
O13 0.223 0.500 0.388
O14 0.240 0.788 0.669
O15 0.240 0.212 0.669
O16 0.173 0.000 0.436
```

Calculated values
magnetization: 0.166 μB/atom
ρ: 3.9 g/cm3
Fermi-level density of states: 4.713 states/eV/cell
ΔE_f (raw): -43.660 eV per formula unit

---

Record 4
Here is an optimized crystal structure of Ti2NiP3O12 from Alexandria. Energies are from GGA-PBEsol.

Cell and atoms, written as CIF:
```
data_Ti2NiP3O12
_chemical_formula_sum 'Ti4 Ni2 P6 O24'
_symmetry_space_group_name_H-M 'P 1'
_symmetry_Int_Tables_number 1
_symmetry_space_group_name_Hall 'P 1'
_cell_length_a 8.423
_cell_length_b 8.423
_cell_length_c 8.423
_cell_angle_alpha 61.27
_cell_angle_beta 61.27
_cell_angle_gamma 61.27
loop_
_atom_site_label
_atom_site_fract_x
_atom_site_fract_y
_atom_site_fract_z
Ti1 0.860 0.860 0.860
Ti2 0.640 0.640 0.640
Ti3 0.360 0.360 0.360
Ti4 0.140 0.140 0.140
Ni1 0.000 0.000 0.000
Ni2 0.500 0.500 0.500
P1 0.959 0.250 0.541
P2 0.541 0.959 0.250
P3 0.250 0.541 0.959
P4 0.750 0.459 0.041
P5 0.459 0.041 0.750
P6 0.041 0.750 0.459
O1 0.881 0.682 0.503
O2 0.682 0.503 0.881
O3 0.945 0.089 0.738
O4 0.503 0.881 0.682
O5 0.003 0.182 0.381
O6 0.762 0.411 0.555
O7 0.738 0.945 0.089
O8 0.555 0.762 0.411
O9 0.818 0.619 0.997
O10 0.411 0.555 0.762
O11 0.911 0.262 0.055
O12 0.619 0.997 0.818
O13 0.381 0.003 0.182
O14 0.089 0.738 0.945
O15 0.589 0.445 0.238
O16 0.182 0.381 0.003
O17 0.445 0.238 0.589
O18 0.262 0.055 0.911
O19 0.238 0.589 0.445
O20 0.997 0.818 0.619
O21 0.497 0.119 0.318
O22 0.055 0.911 0.262
O23 0.318 0.497 0.119
O24 0.119 0.318 0.497
```

Calculated values
magnetization: 0.082 μB/atom
ρ: 3.4 g/cm3
Fermi-level density of states: 16.002 states/eV/cell
ΔE_f (raw): -41.773 eV per formula unit

---

Record 5
Here is an optimized crystal structure of Ti2NiP2O10 from Alexandria. Energies are from GGA-PBEsol.

Cell and atoms, written as CIF:
```
data_Ti2NiP2O10
_chemical_formula_sum 'Ti4 Ni2 P4 O20'
_symmetry_space_group_name_H-M 'P 1'
_symmetry_Int_Tables_number 1
_symmetry_space_group_name_Hall 'P 1'
_cell_length_a 7.348
_cell_length_b 7.317
_cell_length_c 7.276
_cell_angle_alpha 90.00
_cell_angle_beta 119.08
_cell_angle_gamma 90.00
loop_
_atom_site_label
_atom_site_fract_x
_atom_site_fract_y
_atom_site_fract_z
Ti1 0.240 0.225 0.715
Ti2 0.760 0.725 0.785
Ti3 0.760 0.775 0.285
Ti4 0.240 0.275 0.215
Ni1 0.500 0.500 0.000
Ni2 0.500 0.000 0.500
P1 0.747 0.373 0.494
P2 0.253 0.873 0.006
P3 0.253 0.627 0.506
P4 0.747 0.127 0.994
O1 0.278 0.161 0.502
O2 0.722 0.661 0.998
O3 0.722 0.839 0.498
O4 0.278 0.339 0.002
O5 0.719 0.499 0.311
O6 0.281 0.999 0.189
O7 0.281 0.501 0.689
O8 0.719 0.001 0.811
O9 0.562 0.240 0.407
O10 0.438 0.740 0.093
O11 0.438 0.760 0.593
O12 0.562 0.260 0.907
O13 0.754 0.490 0.673
O14 0.246 0.990 0.827
O15 0.246 0.510 0.327
O16 0.754 0.010 0.173
O17 0.948 0.262 0.577
O18 0.052 0.762 0.923
O19 0.052 0.738 0.423
O20 0.948 0.238 0.077
```

Calculated values
magnetization: 0.138 μB/atom
ρ: 3.7 g/cm3
ΔE_f (raw): -35.715 eV per formula unit

---

Record 6
Here is an optimized crystal structure of Ti3VNi2P6O24 from Alexandria. Energies are from GGA-PBEsol.

Cell and atoms, written as CIF:
```
data_Ti3VNi2P6O24
_chemical_formula_sum 'Ti3 V1 Ni2 P6 O24'
_symmetry_space_group_name_H-M 'P 1'
_symmetry_Int_Tables_number 1
_symmetry_space_group_name_Hall 'P 1'
_cell_length_a 8.406
_cell_length_b 8.406
_cell_length_c 8.406
_cell_angle_alpha 61.22
_cell_angle_beta 61.22
_cell_angle_gamma 61.22
loop_
_atom_site_label
_atom_site_fract_x
_atom_site_fract_y
_atom_site_fract_z
Ni1 0.001 0.001 0.001
Ni2 0.499 0.499 0.499
V1 0.860 0.860 0.860
O1 0.504 0.881 0.682
O2 0.682 0.504 0.881
O3 0.881 0.682 0.504
O4 0.054 0.911 0.262
O5 0.003 0.816 0.619
O6 0.240 0.589 0.440
O7 0.262 0.054 0.911
O8 0.440 0.240 0.589
O9 0.182 0.380 0.003
O10 0.589 0.440 0.240
O11 0.089 0.739 0.947
O12 0.380 0.003 0.182
O13 0.619 0.003 0.816
O14 0.911 0.262 0.054
O15 0.410 0.555 0.760
O16 0.816 0.619 0.003
O17 0.555 0.760 0.410
O18 0.739 0.947 0.089
O19 0.760 0.410 0.555
O20 0.003 0.182 0.380
O21 0.947 0.089 0.739
O22 0.118 0.320 0.494
O23 0.320 0.494 0.118
O24 0.494 0.118 0.320
P1 0.042 0.750 0.460
P2 0.460 0.042 0.750
P3 0.750 0.460 0.042
P4 0.249 0.543 0.957
P5 0.543 0.957 0.249
P6 0.957 0.249 0.543
Ti1 0.359 0.359 0.359
Ti2 0.140 0.140 0.140
Ti3 0.641 0.641 0.641
```

Calculated values
magnetization: 0.134 μB/atom
ρ: 3.4 g/cm3
Fermi-level density of states: 18.374 states/eV/cell
ΔE_f (raw): -81.330 eV per formula unit

---

Record 7
Here is an optimized crystal structure of TiZnNiP2O9 from Alexandria. Energies are from GGA-PBEsol.

Cell and atoms, written as CIF:
```
data_TiZnNiP2O9
_chemical_formula_sum 'Ti4 Zn4 Ni4 P8 O36'
_symmetry_space_group_name_H-M 'P 1'
_symmetry_Int_Tables_number 1
_symmetry_space_group_name_Hall 'P 1'
_cell_length_a 6.159
_cell_length_b 7.449
_cell_length_c 13.997
_cell_angle_alpha 90.00
_cell_angle_beta 90.00
_cell_angle_gamma 90.00
loop_
_atom_site_label
_atom_site_fract_x
_atom_site_fract_y
_atom_site_fract_z
Ti1 0.750 0.337 0.887
Ti2 0.250 0.663 0.113
Ti3 0.250 0.837 0.613
Ti4 0.750 0.163 0.387
Zn1 0.750 0.829 0.789
Zn2 0.750 0.671 0.289
Zn3 0.250 0.171 0.211
Zn4 0.250 0.329 0.711
Ni1 0.500 0.000 0.000
Ni2 0.500 0.500 0.500
Ni3 0.000 0.500 0.500
Ni4 0.000 0.000 0.000
P1 0.250 0.356 0.931
P2 0.750 0.644 0.069
P3 0.750 0.856 0.569
P4 0.250 0.144 0.431
P5 0.750 0.407 0.696
P6 0.250 0.593 0.304
P7 0.250 0.907 0.804
P8 0.750 0.093 0.196
O1 0.033 0.598 0.362
O2 0.533 0.402 0.638
O3 0.967 0.098 0.138
O4 0.467 0.902 0.862
O5 0.967 0.402 0.638
O6 0.467 0.598 0.362
O7 0.033 0.902 0.862
O8 0.533 0.098 0.138
O9 0.250 0.331 0.477
O10 0.750 0.669 0.523
O11 0.750 0.831 0.023
O12 0.250 0.169 0.977
O13 0.750 0.142 0.954
O14 0.250 0.858 0.046
O15 0.250 0.642 0.546
O16 0.750 0.358 0.454
O17 0.750 0.235 0.759
O18 0.250 0.765 0.241
O19 0.250 0.735 0.741
O20 0.750 0.265 0.259
O21 0.442 0.123 0.361
O22 0.942 0.877 0.639
O23 0.558 0.623 0.139
O24 0.058 0.377 0.861
O25 0.558 0.877 0.639
O26 0.058 0.123 0.361
O27 0.442 0.377 0.861
O28 0.942 0.623 0.139
O29 0.750 0.933 0.268
O30 0.250 0.067 0.732
O31 0.250 0.433 0.232
O32 0.750 0.567 0.768
O33 0.750 0.998 0.492
O34 0.250 0.002 0.508
O35 0.250 0.498 0.008
O36 0.750 0.502 0.992
```

Calculated values
magnetization: 0.144 μB/atom
ρ: 3.9 g/cm3
ΔE_f (raw): -28.831 eV per formula unit

---

Record 8
Here is an optimized crystal structure of TiZnNiP3O12 from Alexandria. Energies are from GGA-PBEsol.

Cell and atoms, written as CIF:
```
data_TiZnNiP3O12
_chemical_formula_sum 'Ti2 Zn2 Ni2 P6 O24'
_symmetry_space_group_name_H-M 'P 1'
_symmetry_Int_Tables_number 1
_symmetry_space_group_name_Hall 'P 1'
_cell_length_a 8.371
_cell_length_b 8.371
_cell_length_c 8.371
_cell_angle_alpha 60.80
_cell_angle_beta 60.80
_cell_angle_gamma 60.80
loop_
_atom_site_label
_atom_site_fract_x
_atom_site_fract_y
_atom_site_fract_z
Ti1 0.858 0.858 0.858
Ti2 0.358 0.358 0.358
Zn1 0.002 0.002 0.002
Zn2 0.502 0.502 0.502
Ni1 0.642 0.642 0.642
Ni2 0.142 0.142 0.142
P1 0.956 0.539 0.253
P2 0.539 0.253 0.956
P3 0.253 0.956 0.539
P4 0.753 0.039 0.456
P5 0.456 0.753 0.039
P6 0.039 0.456 0.753
O1 0.880 0.487 0.691
O2 0.691 0.880 0.487
O3 0.946 0.740 0.090
O4 0.487 0.691 0.880
O5 0.987 0.380 0.191
O6 0.757 0.557 0.418
O7 0.740 0.090 0.946
O8 0.557 0.418 0.757
O9 0.820 0.995 0.619
O10 0.418 0.757 0.557
O11 0.918 0.057 0.257
O12 0.619 0.820 0.995
O13 0.380 0.191 0.987
O14 0.090 0.946 0.740
O15 0.590 0.240 0.446
O16 0.191 0.987 0.380
O17 0.446 0.590 0.240
O18 0.257 0.918 0.057
O19 0.240 0.446 0.590
O20 0.995 0.619 0.820
O21 0.495 0.320 0.119
O22 0.057 0.257 0.918
O23 0.320 0.119 0.495
O24 0.119 0.495 0.320
```

Calculated values
magnetization: 0.055 μB/atom
ρ: 3.6 g/cm3
Fermi-level density of states: 3.250 states/eV/cell
ΔE_f (raw): -36.731 eV per formula unit